Run a
NbCoOF2: optimized geometry, GGA+U.

Results
The calculation puts the total magnetization at 0.002 μB per atom.

extended XYZ file:
```
5
Lattice="4.268 0.000 0.000 0.000 4.268 0.000 0.000 0.000 3.956" Properties=species:S:1:pos:R:3 pbc="T T T"
Nb 0.000 0.000 0.000
Co 2.134 2.134 1.978
O 0.000 0.000 1.978
F 0.000 2.134 0.000
F 2.134 0.000 0.000
```

Run b
NbCoOF2: optimized geometry, GGA+U.

Results
The calculation puts the total magnetization at 0.800 μB per atom.

extended XYZ file:
```
5
Lattice="3.908 0.000 0.000 0.000 3.908 0.000 0.000 0.000 3.902" Properties=species:S:1:pos:R:3 pbc="T T T"
Nb 0.000 0.000 0.000
Co 1.954 1.954 1.951
O 1.954 1.954 0.000
F 0.000 1.954 1.951
F 1.954 0.000 1.951
```

Energies relative to the most stable structure are run a 0; run b 460, reported in meV per atom.